{
  "formula": "Si2AuBr",
  "functional": "GGA-PBE",
  "state": "relaxed",
  "e_above_lowest_polymorph_mev_per_atom": 353.4,
  "e_form_raw_ev_per_atom": 0.347,
  "sg": "I-42d, No. 122",
  "cell": [[-3.939, -0.005, -4.434], [4.256, -1.665, -3.780], [-1.114, -6.669, -2.970]],
  "species": ["Au", "Si", "Br", "Br", "Si", "Si", "Au", "Si"],
  "fractional_positions": [[0.750, 0.250, 0.500], [0.375, 0.304, 0.750], [0.500, 0.500, 0.000], [0.250, 0.750, 0.500], [0.696, 0.125, 0.250], [0.054, 0.625, 0.250], [0.000, 0.000, 0.000], [0.875, 0.946, 0.750]]
}

***

{
  "formula": "SiAuBr2",
  "functional": "GGA-PBE",
  "state": "relaxed",
  "e_above_lowest_polymorph_mev_per_atom": 632.3,
  "e_form_raw_ev_per_atom": 0.432,
  "sg": "Pmmm, No. 47",
  "cell": [[-1.517, 3.232, -0.195], [-0.562, 0.118, 6.326], [3.867, 1.834, 0.310]],
  "species": ["Au", "Br", "Si", "Br"],
  "fractional_positions": [[0.000, 0.500, 0.500], [0.000, 0.000, 0.000], [0.500, 0.000, 0.500], [0.500, 0.500, 0.000]]
}

***

{
  "formula": "SiAuBr2",
  "functional": "GGA-PBE",
  "state": "relaxed",
  "e_above_lowest_polymorph_mev_per_atom": 516.4,
  "e_form_raw_ev_per_atom": 0.316,
  "sg": "P2/m, No. 10",
  "cell": [[3.952, 0.000, 0.000], [0.000, 3.349, -0.188], [0.000, -3.062, 7.855]],
  "species": ["Si", "Br", "Au", "Br"],
  "fractional_positions": [[0.500, 0.250, 0.250], [0.000, 0.504, 0.494], [0.500, 0.750, 0.750], [0.000, 0.996, 0.006]]
}

***

{
  "formula": "SiAuBr2",
  "functional": "GGA-PBE",
  "state": "relaxed",
  "e_above_lowest_polymorph_mev_per_atom": 611.8,
  "e_form_raw_ev_per_atom": 0.411,
  "sg": "I-42d, No. 122",
  "cell": [[-2.583, -0.119, 4.419], [-4.163, -1.657, -2.478], [-0.928, -8.847, 2.185]],
  "species": ["Br", "Si", "Br", "Br", "Au", "Au", "Br", "Si"],
  "fractional_positions": [[0.618, 0.125, 0.250], [0.500, 0.500, 0.000], [0.132, 0.625, 0.250], [0.375, 0.382, 0.750], [0.000, 0.000, 0.000], [0.750, 0.250, 0.500], [0.875, 0.868, 0.750], [0.250, 0.750, 0.500]]
}